No. 1
Below is Tm2CdIr after structural relaxation, with properties calculated at the PBE level.

Summary:
ΔE to the lowest computed polymorph in eV per formula unit: 0.63

Structure (POSCAR):
```
Tm2CdIr
1.0
1.984 1.146 7.706
-1.984 1.146 7.706
0.000 -2.291 7.706
Tm Cd Ir
2 1 1
Cartesian
0.000 0.000 5.340
0.000 0.000 17.780
0.000 0.000 0.000
0.000 0.000 11.560
```

No. 2
Below is Tm2CdIr after structural relaxation, with properties calculated at the PBE level.

Summary:
ΔE to the lowest computed polymorph in eV per formula unit: 0.29

Structure (POSCAR):
```
Tm2CdIr
1.0
0.000 3.512 3.512
3.512 0.000 3.512
3.512 3.512 0.000
Tm Cd Ir
2 1 1
Cartesian
1.756 1.756 1.756
5.268 5.268 5.268
0.000 0.000 0.000
3.512 3.512 3.512
```

No. 3
Below is YTmCdIr after structural relaxation, with properties calculated at the PBE level.

Structure (POSCAR):
```
YTmCdIr
1.0
0.000 3.541 3.541
3.541 0.000 3.541
3.541 3.541 0.000
Y Tm Cd Ir
1 1 1 1
Cartesian
0.000 0.000 0.000
3.541 3.541 3.541
5.311 5.311 5.311
1.770 1.770 1.770
```

No. 4
Below is TmZnCdIr after structural relaxation, with properties calculated at the PBE level.

Structure (POSCAR):
```
TmZnCdIr
1.0
0.000 3.353 3.353
3.353 0.000 3.353
3.353 3.353 0.000
Tm Zn Cd Ir
1 1 1 1
Cartesian
0.000 0.000 0.000
1.677 1.677 1.677
3.353 3.353 3.353
5.030 5.030 5.030
```

Values for ΔH_f (0 K), eV/atom, ordered as above
-0.51; -0.60; -0.57; -0.31
Values for total moment, Bohr magnetons per cell, ordered as above
0.0; 0.0; 0.0; 0.0